No. 1
Crystalline Sm4SN3 at its relaxed geometry, computed with PBE.

Values from the calculation:
DOS at the Fermi energy	2.61	states/eV/f.u.
ΔE_f (raw)	-1542	meV/atom
V	142.00	Å³ per cell
density	7.90	g/cm3

```
8
Lattice="3.584 0.000 0.000 -1.792 3.104 0.000 0.000 0.000 12.763" Properties=species:S:1:pos:R:3 pbc="T T T"
Sm 0.000 2.069 4.374
Sm 0.000 2.069 11.319
Sm 1.792 1.035 1.444
Sm 1.792 1.035 8.389
S 0.000 0.000 6.381
N 0.000 0.000 0.000
N 0.000 0.000 3.098
N 0.000 0.000 9.665
```

No. 2
Crystalline Cs2MgOsCl6 at its relaxed geometry, computed with PBE.

Values from the calculation:
DOS at the Fermi energy	0.00	states/eV/f.u.
ΔE_f (raw)	-1203	meV/atom
V	255.30	Å³ per cell
density	4.51	g/cm3

```
10
Lattice="0.000 5.035 5.035 5.035 0.000 5.035 5.035 5.035 0.000" Properties=species:S:1:pos:R:3 pbc="T T T"
Cs 2.518 2.518 2.518
Cs 7.553 7.553 7.553
Mg 0.000 0.000 0.000
Os 5.035 5.035 5.035
Cl 5.035 5.035 2.575
Cl 5.035 2.575 5.035
Cl 7.495 5.035 5.035
Cl 2.575 5.035 5.035
Cl 5.035 7.495 5.035
Cl 5.035 5.035 7.495
```

No. 3
Crystalline LiAgF4 at its relaxed geometry, computed with PBE.

Values from the calculation:
energy above the most stable polymorph in this dataset	9	meV per atom
ΔE_f (raw)	-1688	meV/atom
V	168.42	Å³ per cell
density	3.76	g/cm3

```
12
Lattice="5.875 0.000 0.000 0.000 5.262 0.000 -3.210 0.000 5.448" Properties=species:S:1:pos:R:3 pbc="T T T"
Li 0.000 0.000 0.000
Li -1.605 2.631 2.724
Ag 1.333 0.000 2.724
Ag 2.938 2.631 0.000
F -0.175 0.981 1.891
F -1.780 1.650 4.615
F -0.174 3.548 3.699
F 1.431 4.345 0.975
F 1.235 0.917 4.473
F 2.839 1.714 1.749
F 4.445 3.612 0.833
F 2.841 4.281 3.557
```

No. 4
Crystalline Tm2AlMo3 at its relaxed geometry, computed with PBE.

Values from the calculation:
DOS at the Fermi energy	6.19	states/eV/f.u.
energy of formation from the pure elements	-134	meV per atom
V	116.02	Å³ per cell
density	9.34	g/cm3

```
6
Lattice="4.648 -2.679 0.000 4.648 2.679 0.000 -3.101 0.000 4.659" Properties=species:S:1:pos:R:3 pbc="T T T"
Tm 0.001 0.000 1.717
Tm 6.194 0.000 2.942
Al 3.098 0.000 2.330
Mo 2.324 1.339 0.000
Mo 2.324 -1.339 0.000
Mo 4.648 0.000 0.000
```

For the records above, the corresponding total energy values read -7.5392 -3.7644 -3.7298 -7.6642 eV per atom.